(1)
Crystalline ScTa3Ti at its relaxed geometry. Source: Alexandria, functional GGA-PBE.

Values from the calculation:
For the formation energy, the calculation gives 1115 meV per atom. The calculation puts the excess energy over the best structure of this formula in the dataset at 0 meV per atom.

```
data_ScTa3Ti
_cell_length_a 4.7456
_cell_length_b 4.7456
_cell_length_c 4.7456
_cell_angle_alpha 90.00
_cell_angle_beta 90.00
_cell_angle_gamma 90.00
_space_group_name_H-M_alt 'P m -3 m'
_space_group_IT_number 221
_space_group_name_Hall '-P 4 2 3'
loop_
_atom_site_label
_atom_site_fract_x
_atom_site_fract_y
_atom_site_fract_z
Sc1 0.0000 0.0000 0.0000
Ta1 0.0000 0.5000 0.5000
Ti1 0.5000 0.5000 0.5000
```


(2)
Crystalline Sc2TaTi2 at its relaxed geometry. Source: Alexandria, functional GGA-PBE.

Values from the calculation:
For the formation energy, the calculation gives 312 meV per atom.

```
data_Sc2TaTi2
_cell_length_a 6.8486
_cell_length_b 6.8486
_cell_length_c 4.3873
_cell_angle_alpha 90.00
_cell_angle_beta 90.00
_cell_angle_gamma 90.00
_space_group_name_H-M_alt 'P 4/m b m'
_space_group_IT_number 127
_space_group_name_Hall '-P 4 2ab'
loop_
_atom_site_label
_atom_site_fract_x
_atom_site_fract_y
_atom_site_fract_z
Sc1 0.1660 0.3340 0.0000
Ta1 0.0000 0.0000 0.5000
Ti1 0.1404 0.6404 0.5000
```